[1]
The following is a PBE calculation of crystalline KCuAgBr3 at its relaxed geometry, from the Alexandria database.

a b c (Å): 4.222 11.099 8.101
angles (deg): 103.80 90.00 100.96
Sites, in units of the cell vectors:
1 Br 0.530 0.061 0.274
2 Br 0.470 0.939 0.726
3 Br 0.873 0.746 0.311
4 Br 0.201 0.401 0.288
5 Br 0.799 0.599 0.712
6 Br 0.127 0.254 0.689
7 Ag 0.327 0.654 0.501
8 Ag 0.673 0.346 0.499
9 K 0.627 0.253 0.001
10 K 0.373 0.747 0.999
11 Cu 0.015 0.031 0.669
12 Cu 0.985 0.969 0.331

Summary:
Its symmetry is C2/m, No. 12.

[2]
The following is a PBE calculation of crystalline K4CuAg3Br12 at its relaxed geometry, from the Alexandria database.

a b c (Å): 9.281 9.281 9.281
angles (deg): 109.47 109.47 109.47
Sites, in units of the cell vectors:
1 Br 0.761 0.000 0.761
2 Br 0.000 0.761 0.761
3 Br 0.750 0.500 0.250
4 Br 0.250 0.500 0.750
5 Br 0.500 0.250 0.750
6 Br 0.239 0.239 0.000
7 Br 0.750 0.250 0.500
8 Br 0.250 0.750 0.500
9 Br 0.761 0.761 0.000
10 Br 0.239 0.000 0.239
11 Br 0.500 0.750 0.250
12 Br 0.000 0.239 0.239
13 Ag 0.500 0.500 0.000
14 Ag 0.000 0.500 0.500
15 Ag 0.500 0.000 0.500
16 Cu 0.000 0.000 0.000
17 K 0.000 0.500 0.000
18 K 0.500 0.000 0.000
19 K 0.000 0.000 0.500
20 K 0.500 0.500 0.500

Summary:
Its symmetry is Im-3m, No. 229. The value obtained for the density of states at the Fermi level is 0.38 states/eV per atom.

[3]
The following is a PBE calculation of crystalline LiCuAg2Br4 at its relaxed geometry, from the Alexandria database.

a b c (Å): 7.025 7.467 8.508
angles (deg): 90.00 90.00 90.00
Last column: magnetic moment on the atom in μB.
Sites, in units of the cell vectors:
1 Br 0.861 0.856 0.000  0.01
2 Br 0.350 0.154 0.000  0.01
3 Br 0.893 0.318 0.757  0.01
4 Br 0.393 0.682 0.257  0.01
5 Br 0.850 0.846 0.500  0.01
6 Br 0.393 0.682 0.743  0.01
7 Br 0.893 0.318 0.243  0.01
8 Br 0.361 0.144 0.500  0.01
9 Ag 0.505 0.332 0.750  0.00
10 Ag 0.005 0.668 0.750  0.00
11 Ag 0.505 0.332 0.250  0.00
12 Ag 0.005 0.668 0.250  0.00
13 Li 0.495 0.840 0.000  0.00
14 Li 0.995 0.160 0.500  0.00
15 Cu 0.998 0.159 0.000  0.10
16 Cu 0.498 0.841 0.500  0.10

Summary:
Its symmetry is Pmn2_1, No. 31.

[4]
The following is a PBE calculation of crystalline LiCu2AgBr6 at its relaxed geometry, from the Alexandria database.

a b c (Å): 6.859 8.861 8.861
angles (deg): 85.81 81.08 81.08
Last column: magnetic moment on the atom in μB.
Sites, in units of the cell vectors:
1 Br 0.629 0.791 0.973  0.03
2 Br 0.129 0.973 0.791  0.03
3 Br 0.382 0.553 0.707  0.04
4 Br 0.611 0.127 0.620  0.04
5 Br 0.111 0.620 0.127  0.04
6 Br 0.371 0.209 0.027  0.03
7 Br 0.118 0.293 0.447  0.04
8 Br 0.618 0.447 0.293  0.04
9 Br 0.871 0.027 0.209  0.03
10 Br 0.882 0.707 0.553  0.04
11 Br 0.889 0.380 0.873  0.04
12 Br 0.389 0.873 0.380  0.04
13 Ag 0.250 0.901 0.099  0.04
14 Ag 0.750 0.099 0.901  0.04
15 Li 0.250 0.272 0.728  0.00
16 Li 0.750 0.728 0.272  0.00
17 Cu 0.810 0.222 0.399  0.12
18 Cu 0.190 0.778 0.601  0.12
19 Cu 0.310 0.399 0.222  0.12
20 Cu 0.690 0.601 0.778  0.12

Summary:
Its symmetry is C2/c, No. 15. The value obtained for the density of states at the Fermi level is 1.41 states/eV per atom.

[5]
The following is a PBE calculation of crystalline LiCuAg2Br at its relaxed geometry, from the Alexandria database.

a b c (Å): 5.479 4.656 5.479
angles (deg): 90.00 90.00 90.00
Sites, in units of the cell vectors:
1 Ag 0.500 0.000 0.000
2 Ag 0.000 0.000 0.500
3 Li 0.500 0.500 0.500
4 Br 0.000 0.000 0.000
5 Cu 0.000 0.500 0.000

Summary:
Its symmetry is P4/mmm, No. 123. The value obtained for the density of states at the Fermi level is 0.76 states/eV per atom.

[6]
The following is a PBE calculation of crystalline LiCuAgBr4 at its relaxed geometry, from the Alexandria database.

a b c (Å): 8.183 7.904 8.126
angles (deg): 120.94 90.00 121.18
Last column: magnetic moment on the atom in μB.
Sites, in units of the cell vectors:
1 Br 0.749 0.045 0.273  0.09
2 Br 0.703 0.955 0.727  0.09
3 Br 0.297 0.045 0.273  0.09
4 Br 0.250 0.500 0.725  0.12
5 Br 0.750 0.500 0.725  0.12
6 Br 0.250 0.500 0.275  0.12
7 Br 0.251 0.955 0.727  0.09
8 Br 0.750 0.500 0.275  0.12
9 Cu 0.000 0.500 0.500  0.42
10 Cu 0.500 0.500 0.500  0.42
11 Li 0.500 0.000 0.500  0.00
12 Li 0.500 0.000 0.000  0.00
13 Ag 0.114 0.227 0.864  0.07
14 Ag 0.886 0.773 0.136  0.07

Summary:
Its symmetry is Imma, No. 74. The value obtained for the density of states at the Fermi level is 0.58 states/eV per atom.

[7]
The following is a PBE calculation of crystalline Li2CuAgBr4 at its relaxed geometry, from the Alexandria database.

a b c (Å): 6.870 7.225 8.526
angles (deg): 90.00 90.00 90.00
Last column: magnetic moment on the atom in μB.
Sites, in units of the cell vectors:
1 Cu 0.000 0.174 0.000  0.13
2 Cu 0.500 0.826 0.500  0.13
3 Br 0.361 0.186 0.000  0.01
4 Br 0.398 0.155 0.500  0.00
5 Br 0.898 0.845 0.000  0.00
6 Br 0.861 0.814 0.500  0.01
7 Br 0.871 0.338 0.233  0.01
8 Br 0.371 0.662 0.733  0.01
9 Br 0.871 0.338 0.767  0.01
10 Br 0.371 0.662 0.267  0.01
11 Li 0.499 0.329 0.749  0.00
12 Li 0.999 0.671 0.249  0.00
13 Li 0.499 0.329 0.251  0.00
14 Li 0.999 0.671 0.751  0.00
15 Ag 0.500 0.831 0.000  0.00
16 Ag 0.000 0.169 0.500  0.00

Summary:
Its symmetry is Pmn2_1, No. 31. The value obtained for the density of states at the Fermi level is 0.00 states/eV per atom.

[8]
The following is a PBE calculation of crystalline LiCu2AgBr4 at its relaxed geometry, from the Alexandria database.

a b c (Å): 5.873 5.873 7.271
angles (deg): 113.77 113.77 90.06
Sites, in units of the cell vectors:
1 Ag 0.000 0.000 0.001
2 Br 0.873 0.398 0.272
3 Br 0.126 0.126 0.728
4 Br 0.398 0.873 0.272
5 Br 0.602 0.602 0.728
6 Cu 0.250 0.750 0.500
7 Cu 0.750 0.250 0.500
8 Li 0.500 0.500 0.000

Summary:
Its symmetry is Fmm2, No. 42.

[9]
The following is a PBE calculation of crystalline MnCuAg2Br6 at its relaxed geometry, from the Alexandria database.

a b c (Å): 7.002 6.999 7.938
angles (deg): 63.76 63.77 59.98
Last column: magnetic moment on the atom in μB.
Sites, in units of the cell vectors:
1 Ag 0.595 0.595 0.216  -0.01
2 Ag 0.007 0.007 0.979  -0.03
3 Br 0.570 0.224 0.231  0.00
4 Br 0.098 0.426 0.773  -0.03
5 Br 0.974 0.570 0.231  0.00
6 Br 0.224 0.974 0.231  0.00
7 Br 0.703 0.098 0.773  -0.03
8 Br 0.426 0.703 0.773  -0.03
9 Mn 0.330 0.329 0.011  4.01
10 Cu 0.734 0.734 0.797  -0.17

Summary:
Its symmetry is P1, No. 1. The value obtained for the density of states at the Fermi level is 0.67 states/eV per atom.

[10]
The following is a PBE calculation of crystalline NaCuAg2Br6 at its relaxed geometry, from the Alexandria database.

a b c (Å): 7.756 6.937 8.392
angles (deg): 57.06 54.01 56.07
Last column: magnetic moment on the atom in μB.
Sites, in units of the cell vectors:
1 Na 0.809 0.822 0.551  0.00
2 Br 0.691 0.123 0.781  0.06
3 Br 0.125 0.399 0.729  -0.02
4 Br 0.252 0.945 0.273  0.06
5 Br 0.377 0.719 0.767  0.04
6 Br 0.626 0.234 0.244  -0.02
7 Br 0.948 0.571 0.225  0.04
8 Ag 0.524 0.506 0.458  0.00
9 Ag 0.990 0.020 0.973  -0.04
10 Cu 0.319 0.323 0.016  0.26

Summary:
Its symmetry is P1, No. 1. The value obtained for the density of states at the Fermi level is 0.51 states/eV per atom.

[11]
The following is a PBE calculation of crystalline NaCuAgBr4 at its relaxed geometry, from the Alexandria database.

a b c (Å): 7.428 7.428 8.330
angles (deg): 90.00 90.00 114.94
Last column: magnetic moment on the atom in μB.
Sites, in units of the cell vectors:
1 Cu 0.143 0.857 0.250  0.32
2 Cu 0.857 0.143 0.750  0.32
3 Br 0.742 0.258 0.521  0.09
4 Br 0.258 0.742 0.021  0.09
5 Br 0.248 0.219 0.250  0.06
6 Br 0.781 0.752 0.250  0.06
7 Br 0.219 0.248 0.750  0.06
8 Br 0.742 0.258 0.979  0.09
9 Br 0.258 0.742 0.479  0.09
10 Br 0.752 0.781 0.750  0.06
11 Ag 0.851 0.149 0.250  0.06
12 Ag 0.149 0.851 0.750  0.06
13 Na 0.500 0.500 0.000  0.00
14 Na 0.500 0.500 0.500  0.00

Summary:
Its symmetry is Cmcm, No. 63. The value obtained for the density of states at the Fermi level is 1.21 states/eV per atom.

[12]
The following is a PBE calculation of crystalline NaCuAgBr5 at its relaxed geometry, from the Alexandria database.

a b c (Å): 7.415 7.415 10.032
angles (deg): 104.35 104.35 107.29
Sites, in units of the cell vectors:
1 Ag 0.000 0.000 0.500
2 Ag 0.000 0.000 0.000
3 Na 0.325 0.675 0.250
4 Na 0.675 0.325 0.750
5 Cu 0.325 0.675 0.750
6 Cu 0.675 0.325 0.250
7 Br 0.364 0.284 0.073
8 Br 0.672 0.125 0.403
9 Br 0.125 0.672 0.903
10 Br 0.875 0.328 0.097
11 Br 0.284 0.364 0.573
12 Br 0.925 0.075 0.750
13 Br 0.636 0.716 0.927
14 Br 0.328 0.875 0.597
15 Br 0.075 0.925 0.250
16 Br 0.716 0.636 0.427

Summary:
Its symmetry is C2/c, No. 15. The value obtained for the density of states at the Fermi level is 0.92 states/eV per atom.

[13]
The following is a PBE calculation of crystalline NaCuAgBr3 at its relaxed geometry, from the Alexandria database.

a b c (Å): 4.098 8.428 9.488
angles (deg): 101.50 90.00 90.00
Sites, in units of the cell vectors:
1 Ag 0.750 0.347 0.859
2 Ag 0.250 0.653 0.141
3 Br 0.750 0.913 0.158
4 Br 0.250 0.580 0.837
5 Br 0.250 0.087 0.842
6 Br 0.750 0.229 0.531
7 Br 0.750 0.420 0.163
8 Br 0.250 0.771 0.469
9 Cu 0.750 0.934 0.430
10 Cu 0.250 0.066 0.570
11 Na 0.250 0.176 0.184
12 Na 0.750 0.824 0.816

Summary:
Its symmetry is P2_1/m, No. 11.

[14]
The following is a PBE calculation of crystalline NpCuAgBr6 at its relaxed geometry, from the Alexandria database.

a b c (Å): 6.854 6.854 13.114
angles (deg): 90.00 90.00 120.00
Last column: magnetic moment on the atom in μB.
Sites, in units of the cell vectors:
1 Br 0.660 0.648 0.629  0.05
2 Br 0.648 0.660 0.129  0.05
3 Br 0.012 0.352 0.129  0.05
4 Br 0.352 0.012 0.629  0.05
5 Br 0.988 0.340 0.629  0.05
6 Br 0.352 0.340 0.871  0.05
7 Br 0.340 0.988 0.129  0.05
8 Br 0.340 0.352 0.371  0.05
9 Br 0.660 0.012 0.871  0.05
10 Br 0.012 0.660 0.371  0.05
11 Br 0.988 0.648 0.871  0.05
12 Br 0.648 0.988 0.371  0.05
13 Cu 0.667 0.333 0.750  0.15
14 Cu 0.333 0.667 0.250  0.15
15 Np 0.333 0.667 0.750  -3.42
16 Np 0.667 0.333 0.250  -3.42
17 Ag 0.000 0.000 0.500  0.02
18 Ag 0.000 0.000 0.000  0.02

Summary:
Its symmetry is P-31c, No. 163. The value obtained for the density of states at the Fermi level is 0.85 states/eV per atom.

[15]
The following is a PBE calculation of crystalline NpCu2AgBr8 at its relaxed geometry, from the Alexandria database.

a b c (Å): 7.750 7.750 7.750
angles (deg): 108.43 108.43 111.58
Last column: magnetic moment on the atom in μB.
Sites, in units of the cell vectors:
1 Br 0.318 0.119 0.802  -0.08
2 Br 0.735 0.048 0.687  -0.07
3 Br 0.881 0.682 0.198  -0.08
4 Br 0.361 0.048 0.313  -0.07
5 Br 0.484 0.682 0.802  -0.08
6 Br 0.318 0.516 0.198  -0.08
7 Br 0.952 0.265 0.313  -0.07
8 Br 0.952 0.639 0.687  -0.07
9 Cu 0.750 0.250 0.500  -0.21
10 Cu 0.500 0.500 0.000  -0.20
11 Ag 0.000 0.000 0.000  -0.04
12 Np 0.250 0.750 0.500  3.34

Summary:
Its symmetry is I-4m2, No. 119. The value obtained for the density of states at the Fermi level is 1.01 states/eV per atom.

[16]
The following is a PBE calculation of crystalline CuAg2PbBr at its relaxed geometry, from the Alexandria database.

a b c (Å): 5.508 4.993 5.508
angles (deg): 90.00 90.00 90.00
Sites, in units of the cell vectors:
1 Cu 0.000 0.500 0.000
2 Br 0.500 0.500 0.500
3 Ag 0.500 0.000 0.000
4 Ag 0.000 0.000 0.500
5 Pb 0.000 0.000 0.000

Summary:
Its symmetry is P4/mmm, No. 123. The value obtained for the density of states at the Fermi level is 1.46 states/eV per atom.

[17]
The following is a PBE calculation of crystalline Cu2AgPbBr6 at its relaxed geometry, from the Alexandria database.

a b c (Å): 7.119 9.318 9.318
angles (deg): 86.84 81.38 81.38
Last column: magnetic moment on the atom in μB.
Sites, in units of the cell vectors:
1 Cu 0.785 0.240 0.393  0.17
2 Cu 0.285 0.393 0.240  0.17
3 Cu 0.215 0.760 0.607  0.17
4 Cu 0.715 0.607 0.760  0.17
5 Pb 0.250 0.897 0.103  0.00
6 Pb 0.750 0.103 0.897  0.00
7 Br 0.844 0.038 0.215  0.02
8 Br 0.398 0.563 0.726  0.05
9 Br 0.344 0.215 0.038  0.02
10 Br 0.656 0.785 0.962  0.02
11 Br 0.156 0.962 0.785  0.02
12 Br 0.097 0.609 0.148  0.03
13 Br 0.903 0.391 0.852  0.03
14 Br 0.597 0.148 0.609  0.03
15 Br 0.602 0.437 0.274  0.05
16 Br 0.898 0.726 0.563  0.05
17 Br 0.102 0.274 0.437  0.05
18 Br 0.403 0.852 0.391  0.03
19 Ag 0.750 0.701 0.299  0.04
20 Ag 0.250 0.299 0.701  0.04

Summary:
Its symmetry is C2/c, No. 15. The value obtained for the density of states at the Fermi level is 1.08 states/eV per atom.

[18]
The following is a PBE calculation of crystalline CuAg2PbBr6 at its relaxed geometry, from the Alexandria database.

a b c (Å): 7.785 6.949 8.307
angles (deg): 60.26 55.14 58.32
Last column: magnetic moment on the atom in μB.
Sites, in units of the cell vectors:
1 Ag 0.976 0.023 0.957  0.03
2 Ag 0.519 0.539 0.446  0.03
3 Br 0.134 0.388 0.754  0.02
4 Br 0.627 0.227 0.264  0.02
5 Br 0.946 0.573 0.235  0.06
6 Br 0.385 0.708 0.767  0.07
7 Br 0.696 0.108 0.794  0.06
8 Br 0.246 0.949 0.259  0.06
9 Cu 0.299 0.327 0.000  0.31
10 Pb 0.834 0.818 0.539  0.01

Summary:
Its symmetry is P1, No. 1. The value obtained for the density of states at the Fermi level is 0.49 states/eV per atom.

[19]
The following is a PBE calculation of crystalline CuAg2PdBr6 at its relaxed geometry, from the Alexandria database.

a b c (Å): 7.213 6.588 7.746
angles (deg): 62.47 82.57 62.65
Last column: magnetic moment on the atom in μB.
Sites, in units of the cell vectors:
1 Br 0.856 0.662 0.293  0.08
2 Br 0.129 0.423 0.720  0.09
3 Br 0.778 0.045 0.708  0.08
4 Br 0.443 0.662 0.801  0.02
5 Br 0.509 0.255 0.299  0.10
6 Br 0.197 0.010 0.216  0.02
7 Ag 0.515 0.561 0.477  0.03
8 Ag 0.085 0.863 0.986  0.02
9 Cu 0.830 0.841 0.506  0.33
10 Pd 0.319 0.340 0.009  0.06

Summary:
Its symmetry is P1, No. 1. The value obtained for the density of states at the Fermi level is 0.31 states/eV per atom.

no.,formation energy (no corrections) (eV per atom),total magnetization (μB/cell)
1,-0.739,0.0
2,-0.836,0.0
3,-0.610,0.3
4,-0.504,1.1
5,0.671,0.0
6,-0.617,2.0
7,-0.914,0.3
8,-0.582,0.0
9,-0.436,4.0
10,-0.497,0.4
11,-0.619,1.6
12,-0.532,0.0
13,-0.679,0.0
14,-0.775,6.0
15,-0.618,2.3
16,0.654,0.0
17,-0.473,1.3
18,-0.446,0.8
19,-0.278,0.9